Entry 1:
A relaxed structure of TmBiAu2. Source: Alexandria via LeMat-Bulk, functional GGA-PBE.

Output
E_form = -44.2 kJ per mole of atoms
Total DFT energy (no corrections) = -4.185 eV per atom
DOS(E_F) = 0.53 states/eV/atom
Size of the total moment = 0.00 μB per formula unit

```
TmBiAu2
1.0
3.916 0.000 0.000
-1.958 3.391 0.000
0.000 0.000 23.337
Tm Bi Au
3 3 6
Direct
0.000 0.000 0.000
0.333 0.667 0.667
0.667 0.333 0.333
0.000 0.000 0.167
0.333 0.667 0.834
0.667 0.333 0.500
0.000 0.000 0.412
0.000 0.000 0.589
0.333 0.667 0.078
0.333 0.667 0.255
0.667 0.333 0.745
0.667 0.333 0.922
```

---

Entry 2:
A relaxed structure of Sm2Ge4Ir3Pt. Source: Alexandria via LeMat-Bulk, functional GGA-PBE.

Output
E_form = -76.6 kJ per mole of atoms
Total DFT energy (no corrections) = -6.847 eV per atom
DOS(E_F) = 0.50 states/eV/atom
Size of the total moment = 0.00 μB per formula unit

```
Sm2Ge4Ir3Pt
1.0
4.247 0.000 0.000
0.000 4.247 0.000
0.000 0.000 10.303
Sm Ge Ir Pt
2 4 3 1
Direct
0.000 0.500 0.241
0.500 0.000 0.759
0.000 0.000 0.000
0.000 0.500 0.638
0.500 0.000 0.362
0.500 0.500 0.000
0.000 0.500 0.873
0.500 0.000 0.127
0.500 0.500 0.500
0.000 0.000 0.500
```

---

Entry 3:
A relaxed structure of LiZr3P4. Source: Alexandria via LeMat-Bulk, functional GGA-PBE.

Output
E_form = -109.3 kJ per mole of atoms
Total DFT energy (no corrections) = -7.282 eV per atom
DOS(E_F) = 0.18 states/eV/atom
Size of the total moment = 0.00 μB per formula unit

```
LiZr3P4
1.0
6.495 0.000 0.000
0.000 7.489 0.000
-2.160 0.000 6.088
Li Zr P
2 6 8
Direct
0.000 0.115 0.250
0.000 0.885 0.750
0.000 0.373 0.750
0.000 0.627 0.250
0.500 0.121 0.750
0.500 0.374 0.250
0.500 0.626 0.750
0.500 0.879 0.250
0.247 0.371 0.497
0.247 0.629 0.997
0.249 0.125 0.001
0.249 0.875 0.501
0.751 0.125 0.499
0.751 0.875 0.999
0.753 0.371 0.003
0.753 0.629 0.503
```

---

Entry 4:
A relaxed structure of Ho4Zn3Os. Source: Alexandria via LeMat-Bulk, functional GGA-PBE.

Output
E_form = -32.2 kJ per mole of atoms
Total DFT energy (no corrections) = -4.504 eV per atom
DOS(E_F) = 0.82 states/eV/atom
Size of the total moment = 0.00 μB per formula unit

```
Ho4Zn3Os
1.0
3.484 0.000 0.000
0.000 3.484 0.000
0.000 0.000 14.329
Ho Zn Os
4 3 1
Direct
0.000 0.000 0.113
0.000 0.000 0.374
0.000 0.000 0.626
0.000 0.000 0.887
0.500 0.500 0.249
0.500 0.500 0.500
0.500 0.500 0.751
0.500 0.500 0.000
```

---

What did the first record say?
A relaxed structure of TmBiAu2. Source: Alexandria via LeMat-Bulk, functional GGA-PBE.

Output
E_form = -44.2 kJ per mole of atoms
Total DFT energy (no corrections) = -4.185 eV per atom
DOS(E_F) = 0.53 states/eV/atom
Size of the total moment = 0.00 μB per formula unit

```
TmBiAu2
1.0
3.916 0.000 0.000
-1.958 3.391 0.000
0.000 0.000 23.337
Tm Bi Au
3 3 6
Direct
0.000 0.000 0.000
0.333 0.667 0.667
0.667 0.333 0.333
0.000 0.000 0.167
0.333 0.667 0.834
0.667 0.333 0.500
0.000 0.000 0.412
0.000 0.000 0.589
0.333 0.667 0.078
0.333 0.667 0.255
0.667 0.333 0.745
0.667 0.333 0.922
```